DFT (PBE) results for RbMgAlSe3 after structural relaxation.

Computed properties:
Space group ... P2_1/m (11)
Energy relative to the elements, uncorrected ... -105 kJ per mole of atoms
Mass density ... 3.7 g cm⁻³

a b c (Å): 4.033 8.901 10.370
angles (deg): 114.39 90.00 90.00
Sites, in units of the cell vectors:
Rb1 0.250 0.242 0.248
Rb2 0.750 0.758 0.752
Mg1 0.250 0.659 0.089
Mg2 0.750 0.341 0.911
Al1 0.250 0.150 0.648
Al2 0.750 0.850 0.352
Se1 0.750 0.887 0.135
Se2 0.250 0.113 0.865
Se3 0.250 0.828 0.482
Se4 0.750 0.172 0.518
Se5 0.750 0.522 0.187
Se6 0.250 0.478 0.813

DFT (PBE) results for Li3CrH after structural relaxation.

Computed properties:
Space group ... Pm-3m (221)
E above lowest polymorph ... 0 meV per atom
Mass density ... 1.7 g cm⁻³

a b c (Å): 4.157 4.157 4.157
angles (deg): 90.00 90.00 90.00
Sites, in units of the cell vectors:
Cr1 0.500 0.500 0.500
H1 0.000 0.000 0.000
Li1 0.000 0.500 0.000
Li2 0.000 0.000 0.500
Li3 0.500 0.000 0.000

DFT (PBE) results for TbIn3Pd3 after structural relaxation.

Computed properties:
Space group ... Pm-3n (223)
E above lowest polymorph ... 541 meV per atom
Mass density ... 7.2 g cm⁻³

a b c (Å): 7.249 7.249 7.249
angles (deg): 90.00 90.00 90.00
Sites, in units of the cell vectors:
Tb1 0.500 0.500 0.500
Tb2 0.000 0.000 0.000
Pd1 0.000 0.250 0.500
Pd2 0.000 0.750 0.500
Pd3 0.500 0.000 0.750
Pd4 0.750 0.500 0.000
Pd5 0.500 0.000 0.250
Pd6 0.250 0.500 0.000
In1 0.250 0.000 0.500
In2 0.000 0.500 0.250
In3 0.500 0.750 0.000
In4 0.750 0.000 0.500
In5 0.000 0.500 0.750
In6 0.500 0.250 0.000

DFT (PBE) results for CsIn5Sn after structural relaxation.

Computed properties:
Space group ... P4/mmm (123)
Uncorrected energy ... -18.7 eV per cell
Mass density ... 5.7 g cm⁻³

a b c (Å): 4.552 4.552 11.672
angles (deg): 90.00 90.00 90.00
Sites, in units of the cell vectors:
Cs1 0.000 0.000 0.500
In1 0.500 0.500 0.000
In2 0.000 0.500 0.219
In3 0.500 0.000 0.219
In4 0.000 0.500 0.781
In5 0.500 0.000 0.781
Sn1 0.000 0.000 0.000

- Which of these has the lowest mass density?
  Li3CrH

- The lowest mass density belongs to which entry?
  Li3CrH

Copy entry 4 word for word.
DFT (PBE) results for CsIn5Sn after structural relaxation.

Computed properties:
Space group ... P4/mmm (123)
Uncorrected energy ... -18.7 eV per cell
Mass density ... 5.7 g cm⁻³

a b c (Å): 4.552 4.552 11.672
angles (deg): 90.00 90.00 90.00
Sites, in units of the cell vectors:
Cs1 0.000 0.000 0.500
In1 0.500 0.500 0.000
In2 0.000 0.500 0.219
In3 0.500 0.000 0.219
In4 0.000 0.500 0.781
In5 0.500 0.000 0.781
Sn1 0.000 0.000 0.000

- mass density of number 1 (RbMgAlSe3)?
  3.7 g cm⁻³